Record 1
The following is a PBEsol calculation of Cs2Bi2Br after structural relaxation, from Alexandria.

Cell: 4.4602 4.4602 21.3298 Å, 90.00 90.00 90.00°
Closest atoms and distances in Å follow each position.
Space group I4/mmm (No. 139)
Symmetry-distinct sites (fractional):
Cs  0.0000  0.0000  0.0932 x4  4 Br 3.73, 1 Cs 3.98, 4 Bi 4.02
Bi  0.0000  0.5000  0.2500 x4  4 Bi 3.15
Br  0.0000  0.0000  0.5000 x2  8 Cs 3.73

Properties
Formation energy (no corrections) = -833 meV/atom
Crystal system = tetragonal


Record 2
The following is a PBEsol calculation of MgPW2 after structural relaxation, from Alexandria.

Cell: 3.0328 4.6087 8.8446 Å, 90.00 90.00 90.00°
Closest atoms and distances in Å follow each position.
Space group Immm (No. 71)
Symmetry-distinct sites (fractional):
Mg  0.0000  0.0000  0.0000 x2  4 P 2.76, 8 W 2.95-2.98, 2 Mg 3.03
P  0.0000  0.0000  0.5000 x2  4 W 2.42
W  0.0000  0.5000  0.2138 x4  2 P 2.42

Properties
Formation energy from the elements = 0.9 eV/f.u.
Crystal system = orthorhombic
Distance to the lowest polymorph of the same formula = 0.00 kcal/mol of atoms


Number 1: total energy -16.49 eV per formula unit. Number 2: total energy -34.25 eV per formula unit.